First-principles (GGA-PBE) data for a relaxed structure of La6FeI3Br2, as listed in Alexandria via LeMat-Bulk.

Computed properties:
* theoretical density: 6.1 g/cm³
* symmetry: C2/m (12)
* N(E_F): 9.37 states/eV/cell
* uncorrected formation energy: -952 meV/atom

abc: 7.6614 7.6614 7.9923
angles: 99.33 99.33 119.46
Closest atoms and distances in Å follow each position.
Sites, in units of the cell vectors:
1 La 0.0676 0.3559 0.1975  1 Fe 2.67
2 La 0.2300 0.2300 0.7716  1 Fe 2.93, 2 Br 3.16
3 La 0.3559 0.0676 0.1975  1 Fe 2.67
4 La 0.6441 0.9324 0.8025  1 Fe 2.67
5 La 0.7700 0.7700 0.2284  1 Fe 2.93, 2 Br 3.16
6 La 0.9324 0.6441 0.8025  1 Fe 2.67
7 Fe 0.0000 0.0000 0.0000  6 La 2.67-2.93
8 I 0.1857 0.8143 0.5000  6 La 3.37-3.52
9 I 0.5000 0.5000 0.5000  6 La 3.31-3.46
10 I 0.8143 0.1857 0.5000  6 La 3.37-3.52
11 Br 0.3357 0.6643 0.0000  6 La 3.13-3.16
12 Br 0.6643 0.3357 0.0000  6 La 3.13-3.16